[1]
CuSb2O PBE relaxed; formation energy without anion corrections = -120 meV per atom; DOS at the Fermi energy = 4.04 states/eV/cell; space-group type = I-42d (122); DFT total energy = -4.445 eV per atom
1.0
-2.269 0.498 -4.395
-0.403 -4.943 -0.352
-7.332 -1.956 0.752
Sb O Cu
4 2 2
Cartesian
-3.159 -0.826 -2.327
-2.511 -3.484 -0.857
-6.527 -3.443 -1.238
-7.812 -5.045 -3.568
-1.336 -2.222 -2.374
-4.536 -4.560 -0.987
0.000 0.000 0.000
-5.469 -1.840 -3.008

[2]
CdSe2NF PBE relaxed; formation energy without anion corrections = 1119 meV per atom; energy above the lowest structure with this stoichiometry = 117 meV/atom; DOS at the Fermi energy = 2.56 states/eV/cell; space-group type = P4/mmm (123); DFT total energy = -2.497 eV per atom
1.0
5.471 0.000 0.000
0.000 5.471 0.000
0.000 0.000 4.280
N F Se Cd
1 1 2 1
Cartesian
0.000 0.000 2.140
2.736 2.736 2.140
0.000 2.736 0.000
2.736 0.000 0.000
0.000 0.000 0.000

[3]
CsK2NaAg PBE relaxed; energy above the lowest structure with this stoichiometry = 105 meV/atom; DOS at the Fermi energy = 2.43 states/eV/cell; space-group type = P4/mmm (123); DFT total energy = -1.285 eV per atom
1.0
6.978 0.000 0.000
0.000 6.978 0.000
0.000 0.000 5.877
Cs Na K Ag
1 1 2 1
Cartesian
3.489 3.489 2.938
0.000 0.000 0.000
0.000 3.489 0.000
3.489 0.000 0.000
0.000 0.000 2.938

[4]
OsRuW PBE relaxed; energy above the lowest structure with this stoichiometry = 152 meV/atom; DOS at the Fermi energy = 2.13 states/eV/cell; space-group type = P-6m2 (187); DFT total energy = -10.956 eV per atom
1.0
-1.092 -4.071 1.234
1.432 0.746 -4.084
2.558 -0.439 0.817
Os Ru W
1 1 1
Cartesian
2.131 -0.366 0.680
0.601 -2.611 -0.266
2.723 -1.225 -1.630

Among the records above, which one has the highest DOS at the Fermi energy?
CuSb2O